Compound: CaPm4Dy3Se8
Source: Alexandria via LeMat-Bulk
Functional: PBE-GGA
Structure: optimized geometry

## Properties
Its calculated volume is 25.25 Å³ per atom. The value obtained for the total magnetic moment is 0.00 μB/f.u. The calculation puts the total energy at -5.74 eV/atom. Its crystal system is trigonal.

Lattice parameters (Å, degrees): 8.2564 8.2564 20.5311 90.00 90.00 120.00
Space group R-3m (No. 166, hexagonal axes)
One atom of each set of equivalent atoms:
Ca: 0.0000 0.0000 0.0000 [3 per cell]
Pm: 0.0000 0.0000 0.5000 [3 per cell]
Pm: 0.0000 0.5000 0.5000 [9 per cell]
Dy: 0.0000 0.5000 0.0000 [9 per cell]
Se: 0.0000 0.0000 0.2538 [6 per cell]
Se: 0.0011 0.5006 0.2536 [18 per cell]